(1)
Entry from Alexandria via LeMat-Bulk: a geometry-optimized LaTe2CN structure (PBEsol).

## Properties
As for the symmetry: P4/mmm. The uncorrected formation energy comes out at 0.80 eV per atom.

a b c (Å): 3.9632 4.9987 4.9987
angles (deg): 90.00 90.00 90.00
Closest atoms and distances in Å follow each position.
Atoms (fractional coordinates):
1 N 0.5000 0.0000 0.0000  2 C 1.98
2 Te 0.0000 0.0000 0.5000  2 C 2.50
3 Te 0.0000 0.5000 0.0000  2 C 2.50
4 C 0.0000 0.0000 0.0000  2 N 1.98
5 La 0.5000 0.5000 0.5000  8 Te 3.19, 4 N 3.53

***

(2)
Entry from Alexandria via LeMat-Bulk: a geometry-optimized La2AlAu structure (PBEsol).

## Properties
As for the symmetry: P4/mmm. The calculation puts the formation energy at -0.527 eV per atom.

a b c (Å): 3.6451 3.6451 7.8277
angles (deg): 90.00 90.00 90.00
Closest atoms and distances in Å follow each position.
Atoms (fractional coordinates):
1 Au 0.5000 0.5000 0.5000  8 La 3.21
2 Al 0.5000 0.5000 0.0000  8 La 3.26, 4 Al 3.65
3 La 0.0000 0.0000 0.7443  4 Au 3.21, 4 Al 3.26
4 La 0.0000 0.0000 0.2557  4 Au 3.21, 4 Al 3.26

***

(3)
Entry from Alexandria via LeMat-Bulk: a geometry-optimized Zn2TcO2 structure (PBEsol).

## Properties
As for the symmetry: I4/mmm. The uncorrected formation energy comes out at -0.03 eV per atom.

a b c (Å): 3.7344 3.7344 4.9956
angles (deg): 111.95 111.95 90.00
Closest atoms and distances in Å follow each position.
Atoms (fractional coordinates):
1 Zn 0.3542 0.3542 0.7085  4 O 2.07
2 Zn 0.6458 0.6458 0.2915  4 O 2.07
3 Tc 0.0000 0.0000 0.0000  8 O 2.83, 10 Zn 2.92-3.00
4 O 0.2500 0.7500 0.5000  4 Zn 2.07
5 O 0.7500 0.2500 0.5000  4 Zn 2.07

***

(4)
Entry from Alexandria via LeMat-Bulk: a geometry-optimized YZrAl2 structure (PBEsol).

## Properties
As for the symmetry: P4/mmm. The calculation puts the formation energy at -0.397 eV per atom. For the excess energy over the best structure of this formula in the dataset, the calculation gives 5 meV/atom.

a b c (Å): 3.1324 3.1324 8.3230
angles (deg): 90.00 90.00 90.00
Closest atoms and distances in Å follow each position.
Atoms (fractional coordinates):
1 Y 0.5000 0.5000 0.0000  8 Al 3.12, 4 Y 3.13
2 Al 0.0000 0.0000 0.7360  4 Zr 2.96, 4 Y 3.12, 4 Al 3.13
3 Al 0.0000 0.0000 0.2640  4 Zr 2.96, 4 Y 3.12, 4 Al 3.13
4 Zr 0.5000 0.5000 0.5000  8 Al 2.96, 4 Zr 3.13

***

(5)
Entry from Alexandria via LeMat-Bulk: a geometry-optimized MgZn2Si structure (PBEsol).

## Properties
As for the symmetry: Pmm2. The uncorrected formation energy comes out at 0.08 eV per atom. For the excess energy over the best structure of this formula in the dataset, the calculation gives 0 meV/atom.

a b c (Å): 2.8897 3.8543 5.6928
angles (deg): 90.00 90.00 90.00
Closest atoms and distances in Å follow each position.
Atoms (fractional coordinates):
1 Mg 0.0000 0.0000 0.5020  6 Zn 2.83-2.87, 4 Si 2.84, 2 Mg 2.89
2 Si 0.5000 0.5000 0.7654  5 Zn 2.63-2.77, 4 Mg 2.84, 2 Si 2.89
3 Zn 0.0000 0.0000 0.0049  6 Zn 2.72-2.89, 4 Si 2.77, 2 Mg 2.83-2.86
4 Zn 0.5000 0.5000 0.2277  1 Si 2.63, 6 Zn 2.72-2.89, 4 Mg 2.87

***

(6)
Entry from Alexandria via LeMat-Bulk: a geometry-optimized TaNiPb2 structure (PBEsol).

## Properties
As for the symmetry: P4/mmm. The calculation puts the formation energy at 0.523 eV per atom. For the excess energy over the best structure of this formula in the dataset, the calculation gives 115 meV/atom.

a b c (Å): 3.2312 4.8815 4.8815
angles (deg): 90.00 90.00 90.00
Closest atoms and distances in Å follow each position.
Atoms (fractional coordinates):
1 Ni 0.5000 0.0000 0.0000  8 Pb 2.93, 2 Ni 3.23
2 Pb 0.0000 0.0000 0.5000  4 Ta 2.93, 4 Ni 2.93, 2 Pb 3.23
3 Pb 0.0000 0.5000 0.0000  4 Ta 2.93, 4 Ni 2.93, 2 Pb 3.23
4 Ta 0.5000 0.5000 0.5000  8 Pb 2.93, 2 Ta 3.23

***

Computed density, in the same sequence as the records: 7045, 8011, 7323, 4760, 4798, 14105 kg/m3.
Computed energy, in the same sequence as the records: -5.318, -5.204, -5.017, -6.421, -2.579, -6.154 eV/atom.